An optimized crystal structure of NaMg2PbCl8. Source: Alexandria via LeMat-Bulk, functional PBE.

Geometry as extended XYZ:
```
12
Lattice="6.129 0.000 0.000 0.000 7.830 0.000 -0.083 0.000 6.400" Properties=species:S:1:pos:R:3 pbc="T T T"
Na 0.000 0.000 0.000
Mg 3.023 1.868 3.200
Mg 3.023 5.962 3.200
Pb 0.000 3.915 0.000
Cl 1.509 1.948 1.163
Cl 1.509 5.882 1.163
Cl 1.705 3.915 4.173
Cl 1.721 0.000 4.214
Cl 4.324 0.000 2.186
Cl 4.341 3.915 2.227
Cl 4.536 1.948 5.237
Cl 4.536 5.882 5.237
```

Computed properties:
space-group type: P2/m (10)
VASP energy: -40.3 eV per cell
N(E_F): 5.469 states/eV/cell

---

An optimized crystal structure of TcIOF2. Source: Alexandria via LeMat-Bulk, functional PBE.

Geometry as extended XYZ:
```
5
Lattice="4.465 0.000 0.000 0.000 4.465 0.000 0.000 0.000 3.758" Properties=species:S:1:pos:R:3 pbc="T T T"
Tc 0.000 0.000 0.000
I 2.232 2.232 1.879
O 0.000 0.000 1.879
F 0.000 2.232 0.000
F 2.232 0.000 0.000
```

Computed properties:
space-group type: P4/mmm (123)
VASP energy: -24.4 eV per cell
N(E_F): 4.571 states/eV/cell
distance to the lowest polymorph of the same formula: 0 meV per atom